This record from Alexandria via LeMat-Bulk describes a geometry-optimized Tl2Fe3F8 structure. The functional is PBE+U.

Cell and atoms, written as POSCAR:
```
Tl2Fe3F8
1.0
6.639 -3.314 0.000
6.639 3.314 0.000
-1.839 0.000 5.263
Tl Fe F
2 3 8
direct
0.213 0.213 0.176
0.787 0.787 0.824
0.244 0.756 0.500
0.500 0.500 0.000
0.756 0.244 0.500
0.097 0.097 0.470
0.193 0.641 0.121
0.359 0.807 0.879
0.415 0.415 0.598
0.585 0.585 0.402
0.641 0.193 0.121
0.807 0.359 0.879
0.903 0.903 0.530
```

Computed properties:
The volume is 232 Å³ per cell. As for the calculated total energy: -5.072 eV per atom.